(1)
{"formula": "LaHfPa", "functional": "PBE-GGA", "state": "relaxed", "lattice_angstrom": [[3.1421, -0.8431, -0.1264], [0.8393, 3.1432, -0.1264], [0.7179, 0.4147, 15.1210]], "species": ["La", "La", "Pa", "Pa", "Hf", "Hf"], "frac_coords": [[0.6269, 0.6269, 0.0458], [0.1263, 0.1263, 0.2615], [0.6264, 0.6264, 0.4270], [0.1268, 0.1268, 0.8804], [0.1266, 0.1266, 0.5814], [0.6267, 0.6267, 0.7259]], "total_magnetization_mub_per_fu": 0.00, "formation_enthalpy_0k_ev_per_fu": 0.47}


(2)
{"formula": "Tl3In4Hg5", "functional": "PBE-GGA", "state": "relaxed", "lattice_angstrom": [[-3.6061, 1.7817, -4.8856], [-4.4220, -3.9929, 2.6624], [-7.1086, 6.8942, 0.7230]], "species": ["Tl", "Tl", "Tl", "In", "In", "In", "In", "Hg", "Hg", "Hg", "Hg", "Hg"], "frac_coords": [[0.2510, 0.4911, 0.4982], [0.5000, 0.0000, 0.5000], [0.7490, 0.5089, 0.5018], [0.7374, 0.8270, 0.1461], [0.7309, 0.6812, 0.8309], [0.2691, 0.3188, 0.1691], [0.2626, 0.1730, 0.8539], [0.7754, 0.3355, 0.1619], [0.0000, 0.0000, 0.5000], [0.2299, 0.8198, 0.1558], [0.7701, 0.1802, 0.8442], [0.2246, 0.6646, 0.8381]], "total_magnetization_mub_per_fu": 0.00, "formation_enthalpy_0k_ev_per_fu": 0.14}


(3)
{"formula": "LiH2I", "functional": "PBE-GGA", "state": "relaxed", "lattice_angstrom": [[-1.9964, -1.3758, 4.0151], [4.1820, -2.0765, 1.3678], [3.1653, 7.2424, 1.3173]], "species": ["Li", "Li", "H", "H", "H", "H", "I", "I"], "frac_coords": [[0.7549, 0.7500, 0.0100], [0.2451, 0.2500, 0.9900], [0.4422, 0.6727, 0.3858], [0.5578, 0.3273, 0.6142], [0.4422, 0.8273, 0.3858], [0.5578, 0.1727, 0.6142], [0.8428, 0.2500, 0.1855], [0.1572, 0.7500, 0.8145]], "de_polymorph_kj_per_mol_atoms": 0.0, "total_magnetization_mub_per_fu": 0.00}


(4)
{"formula": "RbLiVSi2", "functional": "PBE-GGA", "state": "relaxed", "lattice_angstrom": [[4.6949, 0.0000, 0.0000], [0.0000, 4.9122, 0.0000], [0.0000, 0.0000, 4.6949]], "species": ["Si", "Si", "Li", "Rb", "V"], "frac_coords": [[0.0000, 0.0000, 0.5000], [0.5000, 0.0000, 0.0000], [0.0000, 0.0000, 0.0000], [0.5000, 0.5000, 0.5000], [0.0000, 0.5000, 0.0000]], "raw_formation_energy_mev_per_atom": 940.9, "de_polymorph_kj_per_mol_atoms": 0.0, "total_magnetization_mub_per_fu": 3.20}


(5)
{"formula": "CdAg4", "functional": "PBE-GGA", "state": "relaxed", "lattice_angstrom": [[4.3383, 0.7563, -3.1289], [1.5003, -2.3718, 4.6159], [-3.5494, -3.1550, -2.5750]], "species": ["Cd", "Ag", "Ag", "Ag", "Ag"], "frac_coords": [[0.0000, 0.0000, 0.0000], [0.5000, 0.0000, 0.0000], [0.5000, 0.5000, 0.5000], [0.0000, 0.5000, 0.0000], [0.0000, 0.0000, 0.5000]], "de_polymorph_kj_per_mol_atoms": 42.3, "total_magnetization_mub_per_fu": 0.00, "formation_enthalpy_0k_ev_per_fu": 2.06}


(6)
{"formula": "Sm2Be3GeIr4", "functional": "PBE-GGA", "state": "relaxed", "lattice_angstrom": [[-1.3392, -3.1242, -2.3585], [3.3232, 0.4100, -2.4300], [4.7436, -6.1476, 5.4499]], "species": ["Sm", "Sm", "Be", "Be", "Be", "Ge", "Ir", "Ir", "Ir", "Ir"], "frac_coords": [[0.5000, 0.0000, 0.2336], [0.0000, 0.5000, 0.7664], [0.0000, 0.0000, 0.5000], [0.5000, 0.0000, 0.8889], [0.0000, 0.5000, 0.1111], [0.5000, 0.5000, 0.5000], [0.5000, 0.5000, 0.0000], [0.0000, 0.0000, 0.0000], [0.5000, 0.0000, 0.6353], [0.0000, 0.5000, 0.3647]], "total_magnetization_mub_per_fu": 0.00, "formation_enthalpy_0k_ev_per_fu": -6.44}